(1)
Entry from the Alexandria database: a relaxed TlRuSe2 crystal (GGA-PBEsol). Values from VASP.

Results
Formation energy (no corrections) (kJ/mol of formula units): 236.5
E_tot (hartree per atom): -0.1658
Energy relative to the lowest polymorph listed for this composition (kcal/mol of atoms): 16.886

Geometry as Quantum ESPRESSO input:
```
&SYSTEM
  ibrav = 0, nat = 4, ntyp = 3
/
ATOMIC_SPECIES
Tl 204.38 Tl.upf
Ru 101.07 Ru.upf
Se 78.96 Se.upf
CELL_PARAMETERS angstrom
-3.2761 2.4642 -1.2430
-2.6698 -3.3185 0.4579
2.3093 1.4944 4.2575
ATOMIC_POSITIONS angstrom
Tl -2.9730 -0.4272 -0.3925
Ru -1.6667 -1.1256 2.1615
Se 0.0000 0.0000 0.0000
Se -1.9699 1.7657 1.3110
```


(2)
Entry from the Alexandria database: a relaxed TlRuSe2 crystal (GGA-PBEsol). Values from VASP.

Results
Formation energy (no corrections) (kJ/mol of formula units): -46.1
E_tot (hartree per atom): -0.1928
Energy relative to the lowest polymorph listed for this composition (kcal/mol of atoms): 0.000

Geometry as Quantum ESPRESSO input:
```
&SYSTEM
  ibrav = 0, nat = 4, ntyp = 3
/
ATOMIC_SPECIES
Se 78.96 Se.upf
Ru 101.07 Ru.upf
Tl 204.38 Tl.upf
CELL_PARAMETERS angstrom
3.6657 0.0000 0.0000
0.0000 4.9041 -0.0349
0.0000 -2.4489 4.8083
ATOMIC_POSITIONS angstrom
Se 0.0000 -1.4274 4.0403
Ru 1.8329 2.4521 -0.0175
Se 0.0000 3.8826 0.7331
Tl 1.8329 1.2276 2.3867
```


(3)
Entry from the Alexandria database: a relaxed TlRuSe2 crystal (GGA-PBEsol). Values from VASP.

Results
Formation energy (no corrections) (kJ/mol of formula units): -37.3
E_tot (hartree per atom): -0.1919
Energy relative to the lowest polymorph listed for this composition (kcal/mol of atoms): 0.526

Geometry as Quantum ESPRESSO input:
```
&SYSTEM
  ibrav = 0, nat = 4, ntyp = 3
/
ATOMIC_SPECIES
Se 78.96 Se.upf
Tl 204.38 Tl.upf
Ru 101.07 Ru.upf
CELL_PARAMETERS angstrom
-0.7795 1.8671 -2.9680
-2.2377 -1.3746 -2.4506
-7.7471 3.8490 2.2824
ATOMIC_POSITIONS angstrom
Se -5.4022 2.5673 0.8602
Tl 0.0000 0.0000 0.0000
Se -5.3621 1.7742 -3.9964
Ru -5.3821 2.1708 -1.5681
```


(4)
Entry from the Alexandria database: a relaxed TlRuSe2 crystal (GGA-PBEsol). Values from VASP.

Results
Formation energy (no corrections) (kJ/mol of formula units): 28.3
E_tot (hartree per atom): -0.1857
Energy relative to the lowest polymorph listed for this composition (kcal/mol of atoms): 4.442

Geometry as Quantum ESPRESSO input:
```
&SYSTEM
  ibrav = 0, nat = 4, ntyp = 3
/
ATOMIC_SPECIES
Se 78.96 Se.upf
Tl 204.38 Tl.upf
Ru 101.07 Ru.upf
CELL_PARAMETERS angstrom
-0.3119 2.4912 1.6587
0.3585 -2.8068 4.2829
5.2179 0.8180 -2.9769
ATOMIC_POSITIONS angstrom
Se 3.2849 0.4138 -0.0038
Se 1.9797 0.0886 2.9685
Tl -0.1559 1.2456 0.8293
Ru 0.1793 -1.4034 2.1415
```


(5)
Entry from the Alexandria database: a relaxed RuWSe2 crystal (GGA-PBEsol). Values from VASP.

Results
Formation energy (no corrections) (kJ/mol of formula units): 237.5
E_tot (hartree per atom): -0.2684
Energy relative to the lowest polymorph listed for this composition (kcal/mol of atoms): 8.431

Geometry as Quantum ESPRESSO input:
```
&SYSTEM
  ibrav = 0, nat = 4, ntyp = 3
/
ATOMIC_SPECIES
Se 78.96 Se.upf
W 183.84 W.upf
Ru 101.07 Ru.upf
CELL_PARAMETERS angstrom
3.9748 0.0008 0.0000
-0.6125 3.9274 0.0000
0.0000 0.0000 4.2524
ATOMIC_POSITIONS angstrom
Se 2.8282 0.9823 0.0000
W 1.6812 1.9641 2.1262
Se 0.5342 2.9459 0.0000
Ru 0.0000 0.0000 2.1262
```


(6)
Entry from the Alexandria database: a relaxed RuW2Se crystal (GGA-PBEsol). Values from VASP.

Results
Formation energy (no corrections) (kJ/mol of formula units): 142.0
E_tot (hartree per atom): -0.3690

Geometry as Quantum ESPRESSO input:
```
&SYSTEM
  ibrav = 0, nat = 4, ntyp = 3
/
ATOMIC_SPECIES
W 183.84 W.upf
Ru 101.07 Ru.upf
Se 78.96 Se.upf
CELL_PARAMETERS angstrom
2.9720 0.0000 0.0000
0.0000 4.4255 0.0035
-1.4860 -0.4740 4.6628
ATOMIC_POSITIONS angstrom
W 1.4860 3.0270 2.1981
Ru 0.0000 2.2127 0.0018
W 0.0000 0.9244 2.4682
Se 1.4860 0.0000 0.0000
```


(7)
Entry from the Alexandria database: a relaxed RuWSe2 crystal (GGA-PBEsol). Values from VASP.

Results
Formation energy (no corrections) (kJ/mol of formula units): 96.4
E_tot (hartree per atom): -0.2819
Energy relative to the lowest polymorph listed for this composition (kcal/mol of atoms): 0.000

Geometry as Quantum ESPRESSO input:
```
&SYSTEM
  ibrav = 0, nat = 4, ntyp = 3
/
ATOMIC_SPECIES
Ru 101.07 Ru.upf
Se 78.96 Se.upf
W 183.84 W.upf
CELL_PARAMETERS angstrom
-2.9501 -0.8857 -0.3976
-0.3597 -0.1840 3.0794
-1.7962 5.9182 0.1438
ATOMIC_POSITIONS angstrom
Ru -2.5530 2.4242 1.4128
Se -1.3542 4.4619 0.1085
W -1.6549 -0.5349 1.3409
Se -0.4420 1.4563 0.0354
```


(8)
Entry from the Alexandria database: a relaxed RuWSe2 crystal (GGA-PBEsol). Values from VASP.

Results
Formation energy (no corrections) (kJ/mol of formula units): 141.4
E_tot (hartree per atom): -0.2776
Energy relative to the lowest polymorph listed for this composition (kcal/mol of atoms): 2.688

Geometry as Quantum ESPRESSO input:
```
&SYSTEM
  ibrav = 0, nat = 4, ntyp = 3
/
ATOMIC_SPECIES
Se 78.96 Se.upf
W 183.84 W.upf
Ru 101.07 Ru.upf
CELL_PARAMETERS angstrom
-2.0350 0.7967 1.7847
-0.5034 -2.4669 -1.2735
4.4485 -4.5822 7.1181
ATOMIC_POSITIONS angstrom
Se 1.8671 -4.0657 5.2739
Se 0.2030 -0.2091 0.3249
W 2.1410 -2.2054 3.4258
Ru -0.0767 -2.0634 2.1637
```


(9)
Entry from the Alexandria database: a relaxed RuWSe2 crystal (GGA-PBEsol). Values from VASP.

Results
Formation energy (no corrections) (kJ/mol of formula units): 223.5
E_tot (hartree per atom): -0.2698
Energy relative to the lowest polymorph listed for this composition (kcal/mol of atoms): 7.595

Geometry as Quantum ESPRESSO input:
```
&SYSTEM
  ibrav = 0, nat = 4, ntyp = 3
/
ATOMIC_SPECIES
Ru 101.07 Ru.upf
Se 78.96 Se.upf
W 183.84 W.upf
CELL_PARAMETERS angstrom
3.9473 0.0000 0.0000
0.0000 3.9473 0.0000
-1.9737 -1.9737 3.9842
ATOMIC_POSITIONS angstrom
Ru 0.0000 1.9737 1.9921
Se 0.0000 0.0000 0.0000
Se 1.9737 0.0000 1.9921
W 1.9737 1.9737 0.0000
```


(10)
Entry from the Alexandria database: a relaxed RuWSe3 crystal (GGA-PBEsol). Values from VASP.

Results
Formation energy (no corrections) (kJ/mol of formula units): 546.0
E_tot (hartree per atom): -0.2195

Geometry as Quantum ESPRESSO input:
```
&SYSTEM
  ibrav = 0, nat = 5, ntyp = 3
/
ATOMIC_SPECIES
Se 78.96 Se.upf
Ru 101.07 Ru.upf
W 183.84 W.upf
CELL_PARAMETERS angstrom
4.8345 0.0000 0.0000
0.0000 4.8345 0.0000
0.0000 0.0000 4.8345
ATOMIC_POSITIONS angstrom
Se 0.0000 2.4172 0.0000
Se 0.0000 0.0000 2.4172
Se 2.4172 0.0000 0.0000
Ru 2.4172 2.4172 2.4172
W 0.0000 0.0000 0.0000
```


(11)
Entry from the Alexandria database: a relaxed YRu2Se2 crystal (GGA-PBEsol). Values from VASP.

Results
Formation energy (no corrections) (kJ/mol of formula units): -239.4
E_tot (hartree per atom): -0.2745

Geometry as Quantum ESPRESSO input:
```
&SYSTEM
  ibrav = 0, nat = 5, ntyp = 3
/
ATOMIC_SPECIES
Ru 101.07 Ru.upf
Y 88.91 Y.upf
Se 78.96 Se.upf
CELL_PARAMETERS angstrom
-0.7448 3.2031 2.3000
-3.9358 -0.7485 -0.2321
2.6788 -4.4196 3.5215
ATOMIC_POSITIONS angstrom
Ru -0.2031 0.0054 3.4277
Y 0.0000 0.0000 0.0000
Se 0.2511 -2.3678 3.3788
Ru -1.7986 -1.9704 2.1617
Se -2.2528 0.4028 2.2106
```


(12)
Entry from the Alexandria database: a relaxed Zn2Ru2Se crystal (GGA-PBEsol). Values from VASP.

Results
Formation energy (no corrections) (kJ/mol of formula units): 235.5
E_tot (hartree per atom): -0.1831

Geometry as Quantum ESPRESSO input:
```
&SYSTEM
  ibrav = 0, nat = 5, ntyp = 3
/
ATOMIC_SPECIES
Zn 65.41 Zn.upf
Ru 101.07 Ru.upf
Se 78.96 Se.upf
CELL_PARAMETERS angstrom
-2.5279 1.6344 -1.6656
0.2423 -2.2585 -2.5839
-3.5061 -3.7259 5.2182
ATOMIC_POSITIONS angstrom
Zn -3.7397 -3.2482 2.4885
Ru -3.5884 -1.2018 0.7140
Se 0.0000 0.0000 0.0000
Ru -2.2033 -3.1482 0.2548
Zn -2.0520 -1.1017 -1.5197
```


(13)
Entry from the Alexandria database: a relaxed ZnRuSe crystal (GGA-PBEsol). Values from VASP.

Results
Formation energy (no corrections) (kJ/mol of formula units): -0.7
E_tot (hartree per atom): -0.1912
Energy relative to the lowest polymorph listed for this composition (kcal/mol of atoms): 0.000

Geometry as Quantum ESPRESSO input:
```
&SYSTEM
  ibrav = 0, nat = 3, ntyp = 3
/
ATOMIC_SPECIES
Zn 65.41 Zn.upf
Ru 101.07 Ru.upf
Se 78.96 Se.upf
CELL_PARAMETERS angstrom
2.9390 0.0000 0.0000
0.0000 2.9390 0.0000
-1.4695 -1.4695 5.5419
ATOMIC_POSITIONS angstrom
Zn 0.0000 0.0000 3.9440
Ru 0.0000 0.0000 0.1041
Se 1.4695 1.4695 1.4938
```


(14)
Entry from the Alexandria database: a relaxed Zn4RuSe crystal (GGA-PBEsol). Values from VASP.

Results
Formation energy (no corrections) (kJ/mol of formula units): 99.4
E_tot (hartree per atom): -0.1183

Geometry as Quantum ESPRESSO input:
```
&SYSTEM
  ibrav = 0, nat = 6, ntyp = 3
/
ATOMIC_SPECIES
Zn 65.41 Zn.upf
Ru 101.07 Ru.upf
Se 78.96 Se.upf
CELL_PARAMETERS angstrom
4.9449 0.0000 0.0000
2.4725 4.2824 0.0000
2.4725 1.4275 4.0375
ATOMIC_POSITIONS angstrom
Zn 6.1733 2.1457 1.5173
Ru 7.4174 4.2824 3.0281
Zn 4.9449 2.8549 3.5232
Zn 3.7165 2.1457 1.5173
Zn 4.9449 4.2734 1.5173
Se 0.0000 0.0000 0.0000
```